Computed, not measured: ZrHS after structural relaxation at the GGA-PBE level of DFT.

The energy is -6.21 eV/atom.

The space group is C2/m (No. 12) and the conventional cell measures 18.1896, 3.4605 and 6.6058 Å, with angles of 90.00, 101.32 and 90.00 degrees. Symmetry generates all atoms from Zr at (0.1680, 0.0000, 0.0773), Zr at (0.1836, 0.0000, 0.5809), H at (0.2414, 0.5000, 0.1221), H at (0.2465, 0.0000, 0.3606), S at (0.0745, 0.0000, 0.2811) and S at (0.1159, 0.5000, 0.7884).

---

Computed, not measured: Mg2Al5Au3 after structural relaxation at the GGA-PBE level of DFT.

The energy is -3.54 eV/atom. The calculation puts the energy of formation at -0.365 eV per atom.

The space group is Cmc2_1 (No. 36) and the conventional cell measures 4.1430, 24.3900 and 7.2404 Å, with angles of 90.00, 90.00 and 90.00 degrees. Symmetry generates all atoms from Mg at (0.0000, 0.0232, 0.0000), Mg at (0.0000, 0.3206, 0.8832), Al at (0.0000, 0.0986, 0.6031), Al at (0.0000, 0.2038, 0.6802), Al at (0.0000, 0.2093, 0.0696), Al at (0.0000, 0.3757, 0.4643), Al at (0.0000, 0.4428, 0.8497), Au at (0.0000, 0.1146, 0.2204), Au at (0.0000, 0.2655, 0.3734) and Au at (0.0000, 0.4579, 0.2217).

---

Computed, not measured: BaMgIn2Rh after structural relaxation at the GGA-PBE level of DFT.

The energy is -3.69 eV/atom. The calculation puts the energy of formation at -0.416 eV per atom.

The space group is P4/mmm (No. 123) and the conventional cell measures 5.2200, 5.2200 and 5.1013 Å, with angles of 90.00, 90.00 and 90.00 degrees. Symmetry generates all atoms from Ba at (0.0000, 0.0000, 0.0000), Mg at (0.5000, 0.5000, 0.0000), In at (0.0000, 0.5000, 0.5000) and Rh at (0.5000, 0.5000, 0.5000).

---

Computed, not measured: TcNiP2 after structural relaxation at the GGA-PBE level of DFT.

The energy is -6.73 eV/atom. The calculation puts the energy of formation at 0.008 eV per atom.

The space group is P2/m (No. 10) and the conventional cell measures 3.3414, 3.7856 and 4.4584 Å, with angles of 90.00, 95.38 and 90.00 degrees. Symmetry generates all atoms from Tc at (0.0000, 0.0000, 0.0000), Ni at (0.5000, 0.0000, 0.5000) and P at (0.1915, 0.5000, 0.3129).

---

Among the records above, which one has the lowest energy? TcNiP2